{
  "formula": "Ac2HPd6",
  "functional": "GGA-PBE",
  "state": "optimized geometry",
  "lattice": [[0.0000, 4.3328, 4.3328], [4.3328, 0.0000, 4.3328], [4.3328, 4.3328, 0.0000]],
  "species": ["Ac", "Ac", "H", "Pd", "Pd", "Pd", "Pd", "Pd", "Pd"],
  "frac_coords": [[0.2500, 0.2500, 0.2500], [0.7500, 0.7500, 0.7500], [0.0000, 0.0000, 0.0000], [0.2500, 0.2500, 0.7500], [0.2500, 0.7500, 0.2500], [0.2500, 0.7500, 0.7500], [0.7500, 0.2500, 0.2500], [0.7500, 0.2500, 0.7500], [0.7500, 0.7500, 0.2500]],
  "e_tot_ev_per_atom": -5.4141,
  "space_group": "Fm-3m (225)",
  "dos_at_fermi_per_ev_cell": 1.1,
  "crystal_system": "cubic"
}